# 1
This record from the Alexandria database describes a relaxed AsP2Br crystal. The functional is PBE.

* offset from the most stable computed form: 2.93 eV per formula unit
* density of states at the Fermi level: 11.339 states/eV/cell

CIF file:
```
data_AsP2Br
_chemical_formula_sum 'As4 P8 Br4'
_cell_length_a 6.6429
_cell_length_b 6.6429
_cell_length_c 6.6429
_cell_angle_alpha 90.00
_cell_angle_beta 90.00
_cell_angle_gamma 90.00
_space_group_name_H-M_alt 'F -4 3 m'
_space_group_IT_number 216
_space_group_name_Hall 'F -4 2 3'
loop_
_atom_site_label
_atom_site_fract_x
_atom_site_fract_y
_atom_site_fract_z
_atom_site_occupancy
As1 0.0000 0.0000 0.0000 1
P1 0.0000 0.0000 0.5000 1
P2 0.2500 0.2500 0.2500 1
Br1 0.2500 0.2500 0.7500 1
```


# 2
This record from the Alexandria database describes a relaxed CePu2H4 crystal. The functional is PBE.

* VASP energy: -6.92 eV per atom
* density of states at the Fermi level: 24.202 states/eV/cell

CIF file:
```
data_CePu2H4
_chemical_formula_sum 'Ce2 Pu4 H8'
_cell_length_a 5.9159
_cell_length_b 5.9159
_cell_length_c 5.8526
_cell_angle_alpha 90.00
_cell_angle_beta 90.00
_cell_angle_gamma 90.00
_space_group_name_H-M_alt 'I 4 m m'
_space_group_IT_number 107
_space_group_name_Hall 'I 4 -2'
loop_
_atom_site_label
_atom_site_fract_x
_atom_site_fract_y
_atom_site_fract_z
_atom_site_occupancy
Ce1 0.0000 0.0000 0.0000 1
Pu1 0.0000 0.5000 0.4979 1
H1 0.2502 0.2502 0.2495 1
```